A plane-wave DFT calculation with PBE was carried out for Cs3PmNp2Te6 after structural relaxation.

a b c (Å): 8.0324 8.0324 9.3161
angles (deg): 98.27 98.27 120.00
Last column: nearest neighbours and their distance in Å.
Positions (direct):
Te1 0.6000 0.9360 0.8081  2 Np 3.17, 1 Pm 3.20
Te2 0.0640 0.4000 0.1919  2 Np 3.17, 1 Pm 3.20
Te3 0.9360 0.6000 0.8081  2 Np 3.17, 1 Pm 3.20
Te4 0.4000 0.0640 0.1919  2 Np 3.17, 1 Pm 3.20
Te5 0.2725 0.2725 0.8089  2 Np 3.17, 1 Pm 3.19
Te6 0.7275 0.7275 0.1911  2 Np 3.17, 1 Pm 3.19
Cs1 0.1650 0.8350 0.5000  6 Te 3.84-3.85
Cs2 0.5000 0.5000 0.5000  6 Te 3.83-3.84
Cs3 0.8350 0.1650 0.5000  6 Te 3.84-3.85
Np1 0.6669 0.3331 0.0000  6 Te 3.17
Np2 0.3331 0.6669 0.0000  6 Te 3.17
Pm1 0.0000 0.0000 0.0000  6 Te 3.19-3.20

Space-group type: No. 12
Electronic total energy, eV for the cell shown: -64.71